[1]
The following is a SCAN calculation of a crystal of TiIOF2 relaxed with PBEsol, from the Alexandria database.

Output
- VASP energy: -15.21 eV per atom
- Fermi-level density of states: 2.82 states/eV/cell
- Formation energy (no corrections): -1988 meV per atom

Cell and atoms, written as POSCAR:
```
TiIOF2
1.0
4.274 0.000 0.000
0.000 4.274 0.000
0.000 0.000 3.811
Ti I O F
1 1 1 2
Direct
0.000 0.000 0.000
0.500 0.500 0.500
0.000 0.000 0.500
0.000 0.500 0.000
0.500 0.000 0.000
```



[2]
The following is a SCAN calculation of a crystal of La3Tl relaxed with PBEsol, from the Alexandria database.

Output
- VASP energy: -50.78 eV per atom
- Formation energy: -0.36 eV/atom
- Fermi-level density of states: 26.20 states/eV/cell

Cell and atoms, written as POSCAR:
```
La3Tl
1.0
6.922 0.000 0.000
0.000 17.107 0.000
0.000 0.000 6.169
La Tl
18 6
Direct
0.001 0.085 0.160
0.001 0.415 0.160
0.002 0.750 0.525
0.250 0.250 0.945
0.250 0.578 0.338
0.250 0.922 0.338
0.498 0.750 0.525
0.499 0.085 0.160
0.499 0.415 0.160
0.501 0.585 0.840
0.501 0.915 0.840
0.502 0.250 0.475
0.750 0.078 0.662
0.750 0.422 0.662
0.750 0.750 0.055
0.998 0.250 0.475
0.999 0.585 0.840
0.999 0.915 0.840
0.250 0.082 0.658
0.250 0.418 0.658
0.250 0.750 0.020
0.750 0.250 0.980
0.750 0.582 0.342
0.750 0.918 0.342
```



> Which value of Fermi-level density of states does entry 2 give?

26.20 states/eV/cell